[1]
# BaMn2FeCo PBE relaxed
# Energy of formation: 3.17 eV/atom
# Size of the total moment: 0.08 μB per atom
data_BaMn2FeCo
_chemical_formula_sum 'Ba1 Mn2 Fe1 Co1'
_cell_length_a 4.6595
_cell_length_b 4.6595
_cell_length_c 4.5825
_cell_angle_alpha 90.00
_cell_angle_beta 90.00
_cell_angle_gamma 90.00
_space_group_name_H-M_alt 'P 4/m m m'
_space_group_IT_number 123
_space_group_name_Hall '-P 4 2'
loop_
_atom_site_label
_atom_site_type_symbol
_atom_site_fract_x
_atom_site_fract_y
_atom_site_fract_z
Ba1 Ba 0.0000 0.0000 0.0000
Mn1 Mn 0.0000 0.5000 0.0000
Fe1 Fe 0.5000 0.5000 0.5000
Co1 Co 0.0000 0.0000 0.5000



[2]
# Hf3Al4Pt2 PBE relaxed
# Energy of formation: -0.78 eV/atom
# Size of the total moment: 0.00 μB per atom
data_Hf3Al4Pt2
_chemical_formula_sum 'Hf6 Al8 Pt4'
_cell_length_a 9.7292
_cell_length_b 4.4350
_cell_length_c 8.4415
_cell_angle_alpha 90.00
_cell_angle_beta 120.27
_cell_angle_gamma 90.00
_space_group_name_H-M_alt 'C 1 2/m 1'
_space_group_IT_number 12
loop_
_space_group_symop_operation_xyz
'x,y,z'
'-x,-y,-z'
'-x,y,-z'
'x,-y,z'
'x+1/2,y+1/2,z'
'-x+1/2,-y+1/2,-z'
'-x+1/2,y+1/2,-z'
'x+1/2,-y+1/2,z'
loop_
_atom_site_label
_atom_site_type_symbol
_atom_site_fract_x
_atom_site_fract_y
_atom_site_fract_z
Hf1 Hf 0.0000 0.0000 0.0000
Hf2 Hf 0.1558 0.5000 0.6794
Al1 Al 0.0933 0.0000 0.4210
Al2 Al 0.2048 0.5000 0.0425
Pt1 Pt 0.1109 0.5000 0.2740



[3]
# ZrNb2In PBE relaxed
# Energy of formation: -0.04 eV/atom
# Size of the total moment: 0.00 μB per atom
data_ZrNb2In
_chemical_formula_sum 'Zr1 Nb2 In1'
_cell_length_a 4.1446
_cell_length_b 4.1446
_cell_length_c 4.6660
_cell_angle_alpha 90.00
_cell_angle_beta 90.00
_cell_angle_gamma 90.00
_space_group_name_H-M_alt 'P 4/m m m'
_space_group_IT_number 123
_space_group_name_Hall '-P 4 2'
loop_
_atom_site_label
_atom_site_type_symbol
_atom_site_fract_x
_atom_site_fract_y
_atom_site_fract_z
Zr1 Zr 0.0000 0.0000 0.0000
Nb1 Nb 0.0000 0.5000 0.5000
In1 In 0.5000 0.5000 0.0000



[4]
# La5Ho4Ga4 PBE relaxed
# Energy of formation: -0.37 eV/atom
# Size of the total moment: 0.00 μB per atom
data_La5Ho4Ga4
_chemical_formula_sum 'La10 Ho8 Ga8'
_cell_length_a 12.4524
_cell_length_b 12.4524
_cell_length_c 4.8932
_cell_angle_alpha 90.00
_cell_angle_beta 90.00
_cell_angle_gamma 90.00
_space_group_name_H-M_alt 'I 4/m'
_space_group_IT_number 87
_space_group_name_Hall '-I 4'
loop_
_atom_site_label
_atom_site_type_symbol
_atom_site_fract_x
_atom_site_fract_y
_atom_site_fract_z
La1 La 0.0000 0.0000 0.0000
La2 La 0.1164 0.8042 0.5000
Ho1 Ho 0.0969 0.6006 0.0000
Ga1 Ga 0.0858 0.2436 0.0000



[5]
# ReRuAu2 PBE relaxed
# Energy above the lowest structure with this stoichiometry: 341 meV per atom
# Energy of formation: 0.50 eV/atom
# Size of the total moment: 0.12 μB per atom
data_ReRuAu2
_chemical_formula_sum 'Re2 Ru2 Au4'
_cell_length_a 9.5095
_cell_length_b 2.8283
_cell_length_c 4.8254
_cell_angle_alpha 90.00
_cell_angle_beta 99.81
_cell_angle_gamma 90.00
_space_group_name_H-M_alt 'C 1 2/m 1'
_space_group_IT_number 12
loop_
_space_group_symop_operation_xyz
'x,y,z'
'-x,-y,-z'
'-x,y,-z'
'x,-y,z'
'x+1/2,y+1/2,z'
'-x+1/2,-y+1/2,-z'
'-x+1/2,y+1/2,-z'
'x+1/2,-y+1/2,z'
loop_
_atom_site_label
_atom_site_type_symbol
_atom_site_fract_x
_atom_site_fract_y
_atom_site_fract_z
Re1 Re 0.0000 0.0000 0.0000
Ru1 Ru 0.0000 0.5000 0.5000
Au1 Au 0.2484 0.5000 0.2484



[6]
# Ba2PaS3O PBE relaxed
# Size of the total moment: 0.13 μB per atom
# Energy relative to the elements, uncorrected: -2.257 eV/atom
data_Ba2PaS3O
_chemical_formula_sum 'Ba4 Pa2 S6 O2'
_cell_length_a 4.3064
_cell_length_b 5.3352
_cell_length_c 16.7605
_cell_angle_alpha 90.00
_cell_angle_beta 90.00
_cell_angle_gamma 90.00
_space_group_name_H-M_alt 'I m m m'
_space_group_IT_number 71
_space_group_name_Hall '-I 2 2'
loop_
_atom_site_label
_atom_site_type_symbol
_atom_site_fract_x
_atom_site_fract_y
_atom_site_fract_z
Ba1 Ba 0.0000 0.0000 0.1497
Pa1 Pa 0.0000 0.0000 0.5000
S1 S 0.0000 0.0000 0.3351
S2 S 0.0000 0.5000 0.5000
O1 O 0.0000 0.5000 0.0000